VASP calculation (PBE-GGA) on YGaCoAg after structural relaxation.

The structure belongs to space group F-43m (No. 216); the cell edges are 6.6367, 6.6367 and 6.6367 Å and the angles 90.00°, 90.00° and 90.00°. Symmetry generates all atoms from Y at (0.0000, 0.0000, 0.0000), Ga at (0.2500, 0.2500, 0.2500), Co at (0.0000, 0.0000, 0.5000) and Ag at (0.2500, 0.2500, 0.7500).

The energy relative to the lowest polymorph listed for this composition is 0.074 eV/atom.